1.
Entry from Alexandria: a relaxed structure of AgHgTe2 (GGA-PBEsol).

Cell: 3.2843 3.2843 31.8767 Å, 90.00 90.00 120.00°
Space group R3m (No. 160, hexagonal axes)
Asymmetric unit:
Ag1 0.0000 0.0000 0.0000 (multiplicity 3)
Hg1 0.0000 0.0000 0.2656 (multiplicity 3)
Te1 0.0000 0.0000 0.5156 (multiplicity 3)
Te2 0.0000 0.0000 0.7373 (multiplicity 3)

Output
ΔE_f (raw) in eV per atom: 0.14
Mass density in Mg/m³: 9.4
Energy in eV/atom: -2.590
D(E_F) in states/eV/cell: 7.00



2.
Entry from Alexandria: a relaxed structure of AlMoOs (GGA-PBEsol).

Cell: 2.950 2.950 9.775 Å, 90.00 90.00 90.00°
Space group I4mm (No. 107)
Asymmetric unit:
Al1 0.000 0.000 0.000 (multiplicity 2)
Mo1 0.000 0.000 0.677 (multiplicity 2)
Os1 0.000 0.000 0.341 (multiplicity 2)

Output
Mass density in Mg/m³: 12.2
Energy in eV/atom: -9.655
D(E_F) in states/eV/cell: 3.20



3.
Entry from Alexandria: a relaxed structure of SbPt2Cl (GGA-PBEsol).

Cell: 4.226 4.226 3.918 Å, 90.00 90.00 90.00°
Space group P4/mmm (No. 123)
Asymmetric unit:
Sb1 0.000 0.000 0.000 (multiplicity 1)
Pt1 0.000 0.500 0.500 (multiplicity 2)
Cl1 0.500 0.500 0.000 (multiplicity 1)

Output
ΔE_f (raw) in eV per atom: 0.29
Mass density in Mg/m³: 13.0
Energy in eV/atom: -4.828
D(E_F) in states/eV/cell: 1.54
Polymorph energy (0 for the lowest one) in eV/atom: 0.183



4.
Entry from Alexandria: a relaxed structure of Cs2CaYOs (GGA-PBEsol).

Cell: 6.201 6.201 4.961 Å, 90.00 90.00 90.00°
Space group P4/mmm (No. 123)
Asymmetric unit:
Cs1 0.000 0.500 0.000 (multiplicity 2)
Ca1 0.000 0.000 0.000 (multiplicity 1)
Y1 0.500 0.500 0.500 (multiplicity 1)
Os1 0.000 0.000 0.500 (multiplicity 1)

Output
Mass density in Mg/m³: 5.1
Energy in eV/atom: -3.006
D(E_F) in states/eV/cell: 7.35



5.
Entry from Alexandria: a relaxed structure of Ag2HgI4 (GGA-PBEsol).

Cell: 6.278 6.278 12.585 Å, 90.00 90.00 90.00°
Space group I-4 (No. 82)
Asymmetric unit:
Ag1 0.000 0.000 0.000 (multiplicity 2)
Ag2 0.000 0.500 0.250 (multiplicity 2)
Hg1 0.000 0.500 0.750 (multiplicity 2)
I1 0.229 0.766 0.385 (multiplicity 8)

Output
ΔE_f (raw) in eV per atom: -0.23
Mass density in Mg/m³: 6.2
Energy in eV/atom: -2.268



6.
Entry from Alexandria: a relaxed structure of K2LaCu (GGA-PBEsol).

Cell: 7.233 4.144 11.856 Å, 90.00 100.92 90.00°
Space group Cm (No. 8)
Asymmetric unit:
K1 0.000 0.000 0.000 (multiplicity 2)
K2 0.213 0.000 0.643 (multiplicity 2)
La1 0.435 0.000 0.321 (multiplicity 2)
Cu1 0.228 0.500 0.194 (multiplicity 2)

Output
Mass density in Mg/m³: 2.7
Energy in eV/atom: -2.708
D(E_F) in states/eV/cell: 6.96
Polymorph energy (0 for the lowest one) in eV/atom: 0.063



7.
Entry from Alexandria: a relaxed structure of Li4VTe3O12 (GGA-PBEsol).

Cell: 4.964 5.163 8.666 Å, 89.99 89.76 86.04°
Space group P1 (No. 1)
Asymmetric unit:
Li1 0.000 0.000 0.000 (multiplicity 1)
Li2 0.003 0.489 0.697 (multiplicity 1)
Li3 0.487 0.502 0.518 (multiplicity 1)
Li4 0.508 0.043 0.120 (multiplicity 1)
V1 0.485 0.526 0.924 (multiplicity 1)
Te1 0.482 0.020 0.743 (multiplicity 1)
Te2 0.980 0.489 0.218 (multiplicity 1)
Te3 0.992 0.990 0.423 (multiplicity 1)
O1 0.183 0.155 0.229 (multiplicity 1)
O2 0.207 0.627 0.373 (multiplicity 1)
O3 0.220 0.634 0.063 (multiplicity 1)
O4 0.259 0.210 0.598 (multiplicity 1)
O5 0.283 0.706 0.759 (multiplicity 1)
O6 0.291 0.190 0.916 (multiplicity 1)
O7 0.689 0.816 0.910 (multiplicity 1)
O8 0.692 0.324 0.765 (multiplicity 1)
O9 0.702 0.838 0.586 (multiplicity 1)
O10 0.739 0.353 0.070 (multiplicity 1)
O11 0.766 0.335 0.383 (multiplicity 1)
O12 0.778 0.825 0.244 (multiplicity 1)

Output
ΔE_f (raw) in eV per atom: -1.59
Mass density in Mg/m³: 4.9
Energy in eV/atom: -6.148
D(E_F) in states/eV/cell: 0.26



8.
Entry from Alexandria: a relaxed structure of SrNb2Bi2O9 (GGA-PBEsol).

Cell: 24.920 5.566 5.577 Å, 90.00 90.00 90.00°
Space group Cmc2_1 (No. 36)
Asymmetric unit:
Sr1 0.000 0.247 0.000 (multiplicity 4)
Nb1 0.084 0.251 0.488 (multiplicity 8)
Bi1 0.200 0.218 0.065 (multiplicity 8)
O1 0.000 0.306 0.456 (multiplicity 4)
O2 0.067 0.025 0.739 (multiplicity 8)
O3 0.087 0.462 0.181 (multiplicity 8)
O4 0.158 0.173 0.459 (multiplicity 8)
O5 0.248 0.487 0.285 (multiplicity 8)

Output
ΔE_f (raw) in eV per atom: -2.25
Mass density in Mg/m³: 7.2
Energy in eV/atom: -7.919
D(E_F) in states/eV/cell: 0.00



9.
Entry from Alexandria: a relaxed structure of Ce3B2N4 (GGA-PBEsol).

Cell: 3.455 6.154 10.450 Å, 90.00 90.00 90.00°
Space group Immm (No. 71)
Asymmetric unit:
Ce1 0.000 0.000 0.000 (multiplicity 2)
Ce2 0.000 0.500 0.196 (multiplicity 4)
B1 0.000 0.143 0.500 (multiplicity 4)
N1 0.000 0.264 0.377 (multiplicity 8)

Output
ΔE_f (raw) in eV per atom: -1.51
Mass density in Mg/m³: 7.4
Energy in eV/atom: -9.059
D(E_F) in states/eV/cell: 14.93



10.
Entry from Alexandria: a relaxed structure of Li2TaPt (GGA-PBEsol).

Cell: 3.671 3.671 4.555 Å, 90.00 90.00 90.00°
Space group P4/mmm (No. 123)
Asymmetric unit:
Li1 0.000 0.500 0.000 (multiplicity 2)
Ta1 0.000 0.000 0.500 (multiplicity 1)
Pt1 0.500 0.500 0.500 (multiplicity 1)

Output
Mass density in Mg/m³: 10.5
Energy in eV/atom: -5.948
D(E_F) in states/eV/cell: 2.38
Polymorph energy (0 for the lowest one) in eV/atom: 0.000



11.
Entry from Alexandria: a relaxed structure of La2GeO5 (GGA-PBEsol).

Cell: 9.573 7.433 7.042 Å, 90.00 107.49 90.00°
Space group P2_1/c (No. 14)
Asymmetric unit:
La1 0.023 0.125 0.235 (multiplicity 4)
La2 0.384 0.146 0.085 (multiplicity 4)
Ge1 0.298 0.589 0.041 (multiplicity 4)
O1 0.108 0.638 0.990 (multiplicity 4)
O2 0.113 0.121 0.948 (multiplicity 4)
O3 0.291 0.079 0.356 (multiplicity 4)
O4 0.370 0.046 0.753 (multiplicity 4)
O5 0.410 0.727 0.557 (multiplicity 4)

Output
ΔE_f (raw) in eV per atom: -2.92
Mass density in Mg/m³: 6.0
Energy in eV/atom: -8.150
D(E_F) in states/eV/cell: 0.00



12.
Entry from Alexandria: a relaxed structure of KCdIn (GGA-PBEsol).

Cell: 5.3221 5.3221 3.4404 Å, 90.00 90.00 120.00°
Space group P-6m2 (No. 187)
Asymmetric unit:
K1 0.0000 0.0000 0.0000 (multiplicity 1)
Cd1 0.3333 0.6667 0.5000 (multiplicity 1)
In1 0.6667 0.3333 0.5000 (multiplicity 1)

Output
Mass density in Mg/m³: 5.2
Energy in eV/atom: -1.813
D(E_F) in states/eV/cell: 1.45
Polymorph energy (0 for the lowest one) in eV/atom: 0.065



13.
Entry from Alexandria: a relaxed structure of ZrMo2C (GGA-PBEsol).

Cell: 2.740 2.740 7.515 Å, 90.00 90.00 90.00°
Space group P4/mmm (No. 123)
Asymmetric unit:
Zr1 0.000 0.000 0.000 (multiplicity 1)
Mo1 0.500 0.500 0.333 (multiplicity 2)
C1 0.000 0.000 0.500 (multiplicity 1)

Output
Mass density in Mg/m³: 8.7
Energy in eV/atom: -10.202
D(E_F) in states/eV/cell: 3.13



14.
Entry from Alexandria: a relaxed structure of P3C (GGA-PBEsol).

Cell: 2.683 5.610 7.037 Å, 90.00 90.00 90.00°
Space group Cmmm (No. 65)
Asymmetric unit:
P1 0.000 0.000 0.000 (multiplicity 2)
P2 0.000 0.500 0.316 (multiplicity 4)
C1 0.000 0.000 0.500 (multiplicity 2)

Output
Mass density in Mg/m³: 3.3
Energy in eV/atom: -5.750
D(E_F) in states/eV/cell: 2.85
Polymorph energy (0 for the lowest one) in eV/atom: 0.423



15.
Entry from Alexandria: a relaxed structure of CaTl2Au (GGA-PBEsol).

Cell: 3.773 3.773 6.915 Å, 90.00 90.00 90.00°
Space group P4mm (No. 99)
Asymmetric unit:
Ca1 0.000 0.000 0.000 (multiplicity 1)
Tl1 0.000 0.000 0.546 (multiplicity 1)
Tl2 0.500 0.500 0.281 (multiplicity 1)
Au1 0.500 0.500 0.792 (multiplicity 1)

Output
Mass density in Mg/m³: 10.9
Energy in eV/atom: -3.156
D(E_F) in states/eV/cell: 1.63



16.
Entry from Alexandria: a relaxed structure of Cd2InW (GGA-PBEsol).

Cell: 2.822 5.266 5.146 Å, 90.00 91.76 90.00°
Space group P2/m (No. 10)
Asymmetric unit:
Cd1 0.230 0.000 0.241 (multiplicity 2)
In1 0.000 0.500 0.500 (multiplicity 1)
W1 0.500 0.500 0.000 (multiplicity 1)

Output
Mass density in Mg/m³: 11.4
Energy in eV/atom: -4.279
D(E_F) in states/eV/cell: 2.29



17.
Entry from Alexandria: a relaxed structure of MnBeAsSe2 (GGA-PBEsol).

Cell: 4.749 4.749 4.435 Å, 90.00 90.00 90.00°
Space group P4/mmm (No. 123)
Asymmetric unit:
Mn1 0.000 0.000 0.000 (multiplicity 1)
Be1 0.500 0.500 0.500 (multiplicity 1)
As1 0.000 0.000 0.500 (multiplicity 1)
Se1 0.000 0.500 0.000 (multiplicity 2)

Output
ΔE_f (raw) in eV per atom: 0.68
Mass density in Mg/m³: 4.9
Energy in eV/atom: -4.632
D(E_F) in states/eV/cell: 3.46



18.
Entry from Alexandria: a relaxed structure of ReN2 (GGA-PBEsol).

Cell: 4.789 4.789 2.870 Å, 90.00 90.00 90.00°
Space group P4_2nm (No. 102)
Asymmetric unit:
Re1 0.000 0.000 0.000 (multiplicity 2)
N1 0.206 0.206 0.431 (multiplicity 4)

Output
ΔE_f (raw) in eV per atom: 0.08
Mass density in Mg/m³: 10.8
Energy in eV/atom: -10.052
D(E_F) in states/eV/cell: 3.38



19.
Entry from Alexandria: a relaxed structure of Pm3Al (GGA-PBEsol).

Cell: 4.780 4.780 4.780 Å, 90.00 90.00 90.00°
Space group Pm-3m (No. 221)
Asymmetric unit:
Pm1 0.000 0.000 0.500 (multiplicity 3)
Al1 0.500 0.500 0.500 (multiplicity 1)

Output
Mass density in Mg/m³: 7.0
Energy in eV/atom: -5.069
D(E_F) in states/eV/cell: 4.96
Polymorph energy (0 for the lowest one) in eV/atom: 0.007



20.
Entry from Alexandria: a relaxed structure of SrSb2Pd2 (GGA-PBEsol).

Cell: 4.608 4.608 10.897 Å, 90.00 90.00 90.00°
Space group I4/mmm (No. 139)
Asymmetric unit:
Sr1 0.000 0.000 0.000 (multiplicity 2)
Sb1 0.000 0.000 0.368 (multiplicity 4)
Pd1 0.000 0.500 0.250 (multiplicity 4)

Output
ΔE_f (raw) in eV per atom: -0.77
Mass density in Mg/m³: 7.8
Energy in eV/atom: -5.342
D(E_F) in states/eV/cell: 3.54



21.
Entry from Alexandria: a relaxed structure of ZnSiTc (GGA-PBEsol).

Cell: 5.729 5.729 5.729 Å, 90.00 90.00 90.00°
Space group F-43m (No. 216)
Asymmetric unit:
Zn1 0.000 0.000 0.000 (multiplicity 4)
Si1 0.000 0.000 0.500 (multiplicity 4)
Tc1 0.250 0.250 0.250 (multiplicity 4)

Output
ΔE_f (raw) in eV per atom: 0.23
Mass density in Mg/m³: 6.8
Energy in eV/atom: -5.969
D(E_F) in states/eV/cell: 10.76
Polymorph energy (0 for the lowest one) in eV/atom: 0.391



22.
Entry from Alexandria: a relaxed structure of Cs2CaO2 (GGA-PBEsol).

Cell: 11.190 6.677 6.437 Å, 90.00 90.00 90.00°
Space group Pbcn (No. 60)
Asymmetric unit:
Cs1 0.157 0.113 0.079 (multiplicity 8)
Ca1 0.000 0.482 0.750 (multiplicity 4)
O1 0.096 0.323 0.488 (multiplicity 8)

Output
ΔE_f (raw) in eV per atom: -1.73
Mass density in Mg/m³: 4.7
Energy in eV/atom: -4.638
D(E_F) in states/eV/cell: 0.00



23.
Entry from Alexandria: a relaxed structure of AlAg3B (GGA-PBEsol).

Cell: 4.307 4.307 4.307 Å, 90.00 90.00 90.00°
Space group Pm-3m (No. 221)
Asymmetric unit:
Al1 0.000 0.000 0.000 (multiplicity 1)
Ag1 0.000 0.500 0.500 (multiplicity 3)
B1 0.500 0.500 0.500 (multiplicity 1)

Output
Mass density in Mg/m³: 7.5
Energy in eV/atom: -3.731
D(E_F) in states/eV/cell: 2.39



24.
Entry from Alexandria: a relaxed structure of CsNbIN2 (GGA-PBEsol).

Cell: 4.386 4.386 5.636 Å, 90.00 90.00 90.00°
Space group P4/mmm (No. 123)
Asymmetric unit:
Cs1 0.000 0.000 0.000 (multiplicity 1)
Nb1 0.500 0.500 0.500 (multiplicity 1)
I1 0.500 0.500 0.000 (multiplicity 1)
N1 0.000 0.500 0.500 (multiplicity 2)

Output
ΔE_f (raw) in eV per atom: 0.24
Mass density in Mg/m³: 5.8
Energy in eV/atom: -5.873
D(E_F) in states/eV/cell: 0.91



25.
Entry from Alexandria: a relaxed structure of LaNiBN (GGA-PBEsol).

Cell: 3.709 3.709 7.324 Å, 90.00 90.00 90.00°
Space group P4/nmm (No. 129, origin choice 2)
Asymmetric unit:
La1 0.250 0.250 0.177 (multiplicity 2)
Ni1 0.250 0.750 0.500 (multiplicity 2)
B1 0.250 0.250 0.638 (multiplicity 2)
N1 0.250 0.250 0.836 (multiplicity 2)

Output
ΔE_f (raw) in eV per atom: -1.05
Mass density in Mg/m³: 7.3
Energy in eV/atom: -7.816
D(E_F) in states/eV/cell: 2.91



Computed values of M_tot (unit: μB/atom) for the preceding records, in sequence: 0.0001, 0.0000, 0.0000, 0.0295, 0.0000, 0.0000, 0.0500, 0.0000, 0.0412, 0.0001, 0.0000, 0.0000, 0.0000, 0.0001, 0.0000, 0.0001, 0.4497, 0.0000, 0.0003, 0.0000, 0.0000, 0.0001, 0.0000, 0.1923, 0.0000.